Er7TmTl3 | Alexandria | GGA-PBE | relaxed; space-group type = No. 12; V = 30.463 Å³/atom; formation energy from the elements = 0.59 eV per formula unit; crystal system = monoclinic
1.0
-5.451 2.062 1.317
1.264 -6.025 4.861
5.053 4.770 3.639
Er Tm Tl
7 1 3
Direct
0.159 0.176 0.176
0.295 0.025 0.604
0.705 0.396 0.975
0.295 0.604 0.025
0.000 0.500 0.500
0.705 0.975 0.396
0.841 0.824 0.824
0.500 0.500 0.500
0.000 0.767 0.233
0.500 0.000 0.000
0.000 0.233 0.767

Zr2MoBr | Alexandria | GGA-PBE | relaxed; space-group type = No. 47; V = 19.909 Å³/atom; offset from the most stable computed form = 0.6789 eV per atom; E_form (uncorrected) = 0.34 eV/atom; crystal system = orthorhombic
1.0
3.512 0.000 0.000
0.000 5.246 0.000
0.000 0.000 4.323
Mo Br Zr
1 1 2
Direct
0.000 0.500 0.500
0.500 0.000 0.500
0.000 0.000 0.000
0.500 0.500 0.000

Pm2TmCdC | Alexandria | GGA-PBE | relaxed; space-group type = No. 123; V = 25.262 Å³/atom; formation energy from the elements = -1.19 eV per formula unit; crystal system = tetragonal
1.0
4.773 0.000 0.000
0.000 5.144 0.000
0.000 0.000 5.144
Pm Tm Cd C
2 1 1 1
Direct
0.000 0.000 0.500
0.000 0.500 0.000
0.500 0.000 0.000
0.500 0.500 0.500
0.000 0.000 0.000

LiTa4GeN8 | Alexandria | GGA-PBE | relaxed; space-group type = No. 160; V = 11.690 Å³/atom; E_form (uncorrected) = -0.77 eV/atom; crystal system = trigonal
1.0
-4.660 2.606 -3.082
-1.392 -1.925 -5.688
-5.154 -3.130 -1.020
Li Ta Ge N
1 4 1 8
Direct
0.999 0.999 0.003
0.619 0.619 0.143
0.001 0.493 0.505
0.493 0.001 0.505
0.001 0.001 0.505
0.381 0.381 0.857
0.256 0.759 0.728
0.759 0.256 0.728
0.256 0.256 0.728
0.249 0.249 0.252
0.750 0.231 0.268
0.231 0.750 0.268
0.750 0.750 0.268
0.753 0.753 0.740

NaSr2Au | Alexandria | GGA-PBE | relaxed; space-group type = No. 160; V = 42.361 Å³/atom; offset from the most stable computed form = 0.0304 eV per atom; formation energy from the elements = -1.50 eV per formula unit; crystal system = trigonal
1.0
-3.217 3.113 0.695
-3.912 -0.239 -2.272
-6.081 -4.420 6.417
Na Sr Au
1 2 1
Direct
0.501 0.501 0.498
0.060 0.060 0.820
0.273 0.273 0.181
0.666 0.666 0.001

CdRe2Ir | Alexandria | GGA-PBE | relaxed; space-group type = No. 119; V = 15.769 Å³/atom; formation energy from the elements = 1.97 eV per formula unit; crystal system = tetragonal
1.0
4.838 0.008 0.000
1.504 4.598 0.000
-3.171 -2.303 2.837
Re Ir Cd
2 1 1
Direct
0.000 0.000 0.000
0.250 0.750 0.500
0.750 0.250 0.500
0.500 0.500 0.000

Ce2MnSi | Alexandria | GGA-PBE | relaxed; space-group type = No. 123; V = 20.046 Å³/atom; offset from the most stable computed form = 0.0000 eV per atom; E_form (uncorrected) = -0.22 eV/atom; crystal system = tetragonal
1.0
4.340 0.000 0.000
0.000 4.299 0.000
0.000 0.000 4.299
Si Mn Ce
1 1 2
Direct
0.500 0.500 0.500
0.500 0.000 0.000
0.000 0.000 0.500
0.000 0.500 0.000

NdMn2Al2C | Alexandria | GGA-PBE | relaxed; space-group type = No. 123; V = 14.864 Å³/atom; formation energy from the elements = -1.79 eV per formula unit; crystal system = tetragonal
1.0
3.952 0.000 0.000
0.000 3.952 0.000
0.000 0.000 5.711
Nd Mn Al C
1 2 2 1
Direct
0.000 0.000 0.500
0.500 0.000 0.000
0.000 0.500 0.000
0.500 0.500 0.737
0.500 0.500 0.263
0.000 0.000 0.000

LiLuPb | Alexandria | GGA-PBE | relaxed; space-group type = No. 156; V = 23.264 Å³/atom; formation energy from the elements = -1.02 eV per formula unit; crystal system = trigonal
1.0
-0.505 1.601 3.120
0.192 -4.227 2.201
3.989 2.532 -0.654
Pb Lu Li
1 1 1
Direct
0.832 0.667 0.333
0.333 0.333 0.667
0.834 0.000 0.000

AlS | Alexandria | GGA-PBE | relaxed; space-group type = No. 63; V = 18.510 Å³/atom; E_form (uncorrected) = -0.67 eV/atom; crystal system = orthorhombic
1.0
-2.778 -1.189 1.579
1.930 1.348 4.411
-0.923 4.567 1.814
S Al
2 2
Direct
0.250 0.828 0.828
0.750 0.172 0.172
0.250 0.360 0.360
0.750 0.640 0.640

Na3PuBr8 | Alexandria | GGA-PBE | relaxed; space-group type = No. 21; V = 36.091 Å³/atom; E_form (uncorrected) = -1.26 eV/atom; crystal system = orthorhombic
1.0
-0.441 6.730 2.941
-2.187 -5.537 4.324
8.277 -0.825 3.130
Na Pu Br
3 1 8
Direct
0.000 0.500 0.236
0.500 0.500 0.000
0.500 0.000 0.764
0.500 0.500 0.500
0.719 0.281 0.500
0.733 0.267 0.000
0.741 0.749 0.720
0.749 0.741 0.280
0.251 0.259 0.280
0.259 0.251 0.720
0.267 0.733 0.000
0.281 0.719 0.500

LiBeBAu2 | Alexandria | GGA-PBE | relaxed; space-group type = No. 123; V = 14.640 Å³/atom; formation energy from the elements = 5.56 eV per formula unit; crystal system = tetragonal
1.0
4.427 0.000 0.000
0.000 4.427 0.000
0.000 0.000 3.735
Be B Au Li
1 1 2 1
Direct
0.500 0.500 0.500
0.000 0.000 0.500
0.000 0.500 0.000
0.500 0.000 0.000
0.000 0.000 0.000

Sm4HgBiSe2 | Alexandria | GGA-PBE | relaxed; space-group type = No. 10; V = 28.654 Å³/atom; E_form (uncorrected) = -1.22 eV/atom; crystal system = monoclinic
1.0
4.266 0.000 0.000
0.000 7.784 -0.311
0.000 2.578 6.801
Sm Hg Bi Se
4 1 1 2
Direct
0.000 0.770 0.741
0.000 0.230 0.259
0.500 0.771 0.246
0.500 0.229 0.754
0.000 0.500 0.500
0.500 0.500 0.000
0.000 0.000 0.000
0.500 0.000 0.500